Below is a geometry-optimized PuFeCuO6 structure, with properties calculated at the PBE+U level.

Output
**VASP energy**: -7.51 eV per atom
**D(E_F)**: 0.46 states/eV per atom
**ρ**: 7.24 g/cm3

Lattice parameters (Å, degrees): 5.2368 5.2368 8.8769 90.00 90.00 120.00
Last column: magnetic moment on the atom in μB.
Fractional coordinates of all 18 atoms:
Pu  0.3333  0.6667  0.2500  1.72
Pu  0.6667  0.3333  0.7500  1.72
O  0.3414  0.3416  0.8701  -0.06
O  0.6584  0.9997  0.8701  -0.06
O  0.6586  0.6584  0.1299  -0.06
O  0.0003  0.3416  0.6299  -0.06
O  0.3414  0.9997  0.6299  -0.06
O  0.6586  0.0003  0.3701  -0.06
O  0.0003  0.6586  0.8701  -0.06
O  0.6584  0.6586  0.6299  -0.06
O  0.3416  0.0003  0.1299  -0.06
O  0.9997  0.6584  0.3701  -0.06
O  0.3416  0.3414  0.3701  -0.06
O  0.9997  0.3414  0.1299  -0.06
Fe  0.3333  0.6667  0.7500  4.21
Fe  0.6667  0.3333  0.2500  4.21
Cu  0.0000  0.0000  0.5000  -0.59
Cu  0.0000  0.0000  0.0000  -0.59